A relaxed LiMnPdF6 crystal, computed with PBE with a Hubbard U.

Output
D(E_F) = 3.91 states/eV per cell
M_tot = 12.0 Bohr magnetons per cell
uncorrected energy = -4.963 eV/atom

Cell and atoms, written as POSCAR:
```
LiMnPdF6
1.0
5.2225 0.0000 0.0000
-2.6113 4.5229 0.0000
0.0000 0.0000 9.2354
Li F Mn Pd
2 12 2 2
Cartesian
0.0000 3.0152 2.3089
2.6113 1.5076 6.9266
-0.8612 1.5154 5.8238
4.3407 1.5035 1.2061
-1.7295 3.0193 8.0294
0.8818 1.5035 3.4117
-0.8683 4.5110 5.8238
1.7430 0.0119 1.2061
0.8612 1.5154 8.0294
3.4795 0.0119 3.4117
1.7501 3.0074 1.2061
3.4725 3.0074 3.4117
1.7295 3.0193 5.8238
0.8683 4.5110 8.0294
2.6113 1.5076 2.3089
0.0000 3.0152 6.9266
0.0000 0.0000 4.6177
0.0000 0.0000 0.0000
```